1.
Here is a relaxed YTa4Pb crystal from the Alexandria database. Energies are from PBE.

Unit cell a=5.6917 b=5.6917 c=5.6917 alpha=60.00 beta=60.00 gamma=60.00
Last column: nearest neighbours and their distance in Å.
Fractional positions:
1 Y 0.7500 0.7500 0.7500  12 Ta 3.33, 4 Pb 3.49
2 Ta 0.8678 0.3774 0.3774  6 Ta 2.79-2.90
3 Ta 0.3774 0.3774 0.8678  6 Ta 2.79-2.90
4 Ta 0.3774 0.8678 0.3774  6 Ta 2.79-2.90
5 Ta 0.3774 0.3774 0.3774  6 Ta 2.79-2.90
6 Pb 0.0000 0.0000 0.0000  12 Ta 3.34, 4 Y 3.49

Summary:
The raw total energy comes out at -55.66 eV/cell. The density of states at the Fermi level is 6.369 states/eV/cell. The space-group type is F-43m (216). As for the energy of formation from the pure elements: 0.320 eV per atom. The calculation puts the size of the total moment at 0.00 μB per atom.

=====

2.
Here is a relaxed PrTm2SbN4 crystal from the Alexandria database. Energies are from PBE.

Unit cell a=3.3242 b=6.8246 c=11.6385 alpha=90.00 beta=90.00 gamma=104.10
Last column: nearest neighbours and their distance in Å.
Fractional positions:
1 Pr 0.2345 0.4690 0.7500  6 N 2.48-2.59
2 Pr 0.7655 0.5310 0.2500  6 N 2.48-2.59
3 Tm 0.3686 0.7373 0.4986  5 N 2.33-2.41
4 Tm 0.6314 0.2627 0.9986  5 N 2.33-2.41
5 Tm 0.6314 0.2627 0.5014  5 N 2.33-2.41
6 Tm 0.3686 0.7373 0.0014  5 N 2.33-2.41
7 Sb 0.9812 0.9623 0.7500  2 N 2.15
8 Sb 0.0188 0.0377 0.2500  2 N 2.15
9 N 0.2135 0.4269 0.1038  3 Tm 2.33-2.37, 2 Pr 2.48
10 N 0.7865 0.5731 0.6038  3 Tm 2.33-2.37, 2 Pr 2.48
11 N 0.7865 0.5731 0.8962  3 Tm 2.33-2.37, 2 Pr 2.48
12 N 0.2135 0.4269 0.3962  3 Tm 2.33-2.37, 2 Pr 2.48
13 N 0.0000 0.0000 0.5000  4 Tm 2.41
14 N 0.0000 0.0000 0.0000  4 Tm 2.41
15 N 0.5845 0.1690 0.7500  2 Sb 2.15
16 N 0.4155 0.8310 0.2500  2 Sb 2.15

Summary:
The raw total energy comes out at -115.39 eV/cell. The density of states at the Fermi level is 1.303 states/eV/cell. The space-group type is Cmcm (63). The calculation puts the size of the total moment at 0.00 μB per atom.

=====

3.
Here is a relaxed NdGaNiPd crystal from the Alexandria database. Energies are from PBE.

Unit cell a=4.3051 b=4.3048 c=5.3917 alpha=113.49 beta=90.00 gamma=120.00
Last column: nearest neighbours and their distance in Å.
Fractional positions:
1 Nd 0.6187 0.2374 0.4979  4 Ni 2.93-3.10, 4 Pd 2.98-3.08
2 Ga 0.1071 0.2142 0.9633  3 Ni 2.51, 3 Pd 2.60
3 Ni 0.4146 0.8292 0.8863  3 Ga 2.51, 3 Pd 2.72-2.73
4 Pd 0.8259 0.6519 0.1199  3 Ga 2.60, 3 Ni 2.72-2.73

Summary:
The raw total energy comes out at -21.30 eV/cell. The density of states at the Fermi level is 2.034 states/eV/cell. The space-group type is R3m (160). As for the energy of formation from the pure elements: -0.633 eV per atom. The calculation puts the size of the total moment at 0.00 μB per atom.

=====

4.
Here is a relaxed ZrNbGa2 crystal from the Alexandria database. Energies are from PBE.

Unit cell a=4.0525 b=4.1905 c=4.1905 alpha=90.00 beta=90.00 gamma=90.00
Last column: nearest neighbours and their distance in Å.
Fractional positions:
1 Nb 0.5000 0.0000 0.0000  8 Ga 2.91, 4 Zr 2.96
2 Ga 0.0000 0.0000 0.5000  4 Zr 2.91, 4 Nb 2.91, 4 Ga 2.96
3 Ga 0.0000 0.5000 0.0000  4 Zr 2.91, 4 Nb 2.91, 4 Ga 2.96
4 Zr 0.5000 0.5000 0.5000  8 Ga 2.91, 4 Nb 2.96

Summary:
The raw total energy comes out at -26.19 eV/cell. The density of states at the Fermi level is 1.435 states/eV/cell. As for the distance to the lowest polymorph of the same formula: 0.000 eV/atom. The space-group type is P4/mmm (123). As for the energy of formation from the pure elements: -0.380 eV per atom. The calculation puts the size of the total moment at 0.00 μB per atom.